Here is crystalline Sc2TaFe at its relaxed geometry from the Alexandria database. Energies are from GGA-PBE.

Its crystal system is tetragonal. The total magnetic moment comes out at 1.6 μB/cell. The formation energy is 0.325 eV per atom.

It has space group P4/mmm (No. 123), with a = 4.967 Å, b = 4.967 Å, c = 3.019 Å, α = 90.00°, β = 90.00° and γ = 90.00°. The inequivalent atoms are Sc at (0.000, 0.500, 0.000), Ta at (0.000, 0.000, 0.500) and Fe at (0.500, 0.500, 0.500).